[1]
# Th4Sb2Ir

Crystalline Th4Sb2Ir at its relaxed geometry (PBE, the Alexandria database).

Lattice parameters (Å, degrees): 8.4893 8.4893 7.2045 114.26 114.26 28.71
Sites, in units of the cell vectors:
1 Th 0.1071 0.1071 0.4328
2 Th 0.3886 0.3886 0.0422
3 Th 0.6114 0.6114 0.9578
4 Th 0.8929 0.8929 0.5672
5 Sb 0.2572 0.2572 0.2626
6 Sb 0.7428 0.7428 0.7374
7 Ir 0.0000 0.0000 0.0000

Properties
- density (g cm⁻³) = 10.0
- total magnetic moment (μB/atom) = 0.00
- calculated total energy (eV per cell) = -51.04
- formation energy without anion corrections (eV/f.u.) = -4.26

***

[2]
# GdTc2

Crystalline GdTc2 at its relaxed geometry (PBE, the Alexandria database).

Lattice parameters (Å, degrees): 5.4271 5.4271 5.4271 60.00 60.00 60.00
Sites, in units of the cell vectors:
1 Gd 0.1250 0.1250 0.1250
2 Gd 0.8750 0.8750 0.8750
3 Tc 0.0000 0.5000 0.5000
4 Tc 0.5000 0.0000 0.5000
5 Tc 0.5000 0.5000 0.0000
6 Tc 0.5000 0.5000 0.5000

Properties
- density (g cm⁻³) = 10.4
- formation energy from the elements (eV/f.u.) = -0.24
- total magnetic moment (μB/atom) = 2.14
- calculated total energy (eV per cell) = -70.10

***

[3]
# ZnSi2Pd4

Crystalline ZnSi2Pd4 at its relaxed geometry (PBE, the Alexandria database).

Lattice parameters (Å, degrees): 6.8258 6.8258 6.8258 140.30 140.30 57.40
Sites, in units of the cell vectors:
1 Zn 0.0000 0.0000 0.0000
2 Si 0.3988 0.3988 0.0000
3 Si 0.6012 0.6012 0.0000
4 Pd 0.0000 0.5000 0.5000
5 Pd 0.2111 0.2111 0.0000
6 Pd 0.5000 0.0000 0.5000
7 Pd 0.7889 0.7889 0.0000

Properties
- density (g cm⁻³) = 7.1
- total magnetic moment (μB/atom) = 0.00
- calculated total energy (eV per cell) = -32.05
- formation energy without anion corrections (eV/f.u.) = 0.84

***

[4]
# Li2TlHg

Crystalline Li2TlHg at its relaxed geometry (PBE, the Alexandria database).

Lattice parameters (Å, degrees): 4.8491 4.8491 3.3460 90.00 90.00 90.16
Sites, in units of the cell vectors:
1 Li 0.0000 0.5000 0.0000
2 Li 0.5000 0.0000 0.0000
3 Tl 0.0000 0.0000 0.5000
4 Hg 0.5000 0.5000 0.5000

Properties
- density (g cm⁻³) = 8.8
- formation energy from the elements (eV/f.u.) = -1.21
- total magnetic moment (μB/atom) = 0.00
- calculated total energy (eV per cell) = -7.70

***

[5]
# BaAlIr

Crystalline BaAlIr at its relaxed geometry (PBE, the Alexandria database).

Lattice parameters (Å, degrees): 4.2845 4.2845 5.0296 90.00 90.00 120.00
Sites, in units of the cell vectors:
1 Ba 0.0000 0.0000 0.0000
2 Al 0.3333 0.6667 0.5000
3 Ir 0.6667 0.3333 0.5000

Properties
- density (g cm⁻³) = 7.4
- formation energy from the elements (eV/f.u.) = -1.24
- total magnetic moment (μB/atom) = 0.00
- calculated total energy (eV per cell) = -15.76

***

[6]
# TcRhCl4

Crystalline TcRhCl4 at its relaxed geometry (PBE, the Alexandria database).

Lattice parameters (Å, degrees): 5.7215 5.7215 5.7215 60.00 60.00 60.00
Sites, in units of the cell vectors:
1 Tc 0.0000 0.0000 0.0000
2 Rh 0.2500 0.2500 0.2500
3 Cl 0.1254 0.6249 0.6249
4 Cl 0.6249 0.1254 0.6249
5 Cl 0.6249 0.6249 0.1254
6 Cl 0.6249 0.6249 0.6249

Properties
- density (g cm⁻³) = 4.3
- total magnetic moment (μB/atom) = 0.82
- calculated total energy (eV per cell) = -17.03
- formation energy without anion corrections (eV/f.u.) = 8.08

***

[7]
# CdSiBr2

Crystalline CdSiBr2 at its relaxed geometry (PBE, the Alexandria database).

Lattice parameters (Å, degrees): 4.9785 4.9785 3.9975 90.00 90.00 90.00
Sites, in units of the cell vectors:
1 Cd 0.0000 0.0000 0.0000
2 Si 0.5000 0.5000 0.0000
3 Br 0.0000 0.5000 0.5000
4 Br 0.5000 0.0000 0.5000

Properties
- density (g cm⁻³) = 5.0
- total magnetic moment (μB/atom) = 0.00
- calculated total energy (eV per cell) = -8.52
- formation energy without anion corrections (eV/f.u.) = 1.16

***

[8]
# Th3In5

Crystalline Th3In5 at its relaxed geometry (PBE, the Alexandria database).

Lattice parameters (Å, degrees): 6.8262 6.8262 4.8044 90.00 90.00 92.06
Sites, in units of the cell vectors:
1 Th 0.0000 0.0000 0.0000
2 Th 0.2670 0.7330 0.5000
3 Th 0.7330 0.2670 0.5000
4 In 0.0000 0.5000 0.0000
5 In 0.2399 0.2399 0.5000
6 In 0.5000 0.0000 0.0000
7 In 0.5000 0.5000 0.0000
8 In 0.7601 0.7601 0.5000

Properties
- density (g cm⁻³) = 9.4
- formation energy from the elements (eV/f.u.) = -2.17
- total magnetic moment (μB/atom) = 0.00
- calculated total energy (eV per cell) = -38.12